Li2Ce2HoIn2 | PBE | relaxed

Lattice parameters (Å, degrees): 9.279 9.279 9.279 29.16 29.16 29.16
Atoms (fractional coordinates):
Li 0.094 0.094 0.094
Li 0.906 0.906 0.906
Ce 0.357 0.357 0.357
Ce 0.643 0.643 0.643
Ho 0.500 0.500 0.500
In 0.233 0.233 0.233
In 0.767 0.767 0.767

Computed properties:
total energy	-3.892	eV per atom
spin magnetization	1.36	μB/cell
calculated formation energy	-0.21	eV/atom

Li2Ce2HoIn5 | PBE | relaxed

Lattice parameters (Å, degrees): 10.375 10.375 4.508 90.00 90.00 90.00
Atoms (fractional coordinates):
Li 0.116 0.384 0.000
Li 0.384 0.884 0.000
Li 0.616 0.116 0.000
Li 0.884 0.616 0.000
Ce 0.179 0.679 0.000
Ce 0.321 0.179 0.000
Ce 0.679 0.821 0.000
Ce 0.821 0.321 0.000
Ho 0.000 0.000 0.000
Ho 0.500 0.500 0.000
In 0.000 0.500 0.500
In 0.068 0.212 0.500
In 0.212 0.932 0.500
In 0.288 0.432 0.500
In 0.432 0.712 0.500
In 0.500 0.000 0.500
In 0.568 0.288 0.500
In 0.712 0.568 0.500
In 0.788 0.068 0.500
In 0.932 0.788 0.500

Computed properties:
total energy	-3.747	eV per atom
spin magnetization	4.06	μB/cell
calculated formation energy	-0.35	eV/atom

LiCeHoIn | PBE | relaxed

Lattice parameters (Å, degrees): 5.325 5.325 5.325 60.00 60.00 60.00
Atoms (fractional coordinates):
Li 0.000 0.000 0.000
Ce 0.750 0.750 0.750
Ho 0.250 0.250 0.250
In 0.500 0.500 0.500

Computed properties:
total energy	-3.938	eV per atom
spin magnetization	1.03	μB/cell
calculated formation energy	-0.15	eV/atom

CeHo2Mg2In2 | PBE | relaxed

Lattice parameters (Å, degrees): 9.063 9.063 9.063 32.35 32.35 32.35
Atoms (fractional coordinates):
Ce 0.000 0.000 0.000
Ho 0.130 0.130 0.130
Ho 0.870 0.870 0.870
Mg 0.405 0.405 0.405
Mg 0.595 0.595 0.595
In 0.262 0.262 0.262
In 0.738 0.738 0.738

Computed properties:
total energy	-3.579	eV per atom
spin magnetization	1.27	μB/cell
calculated formation energy	-0.19	eV/atom

CeHoMg2In2 | PBE | relaxed

Lattice parameters (Å, degrees): 4.996 4.996 7.163 90.00 90.00 120.00
Atoms (fractional coordinates):
Ce 0.000 0.000 0.000
Ho 0.000 0.000 0.500
Mg 0.333 0.667 0.741
Mg 0.667 0.333 0.259
In 0.333 0.667 0.249
In 0.667 0.333 0.751

Computed properties:
total energy	-3.506	eV per atom
spin magnetization	0.72	μB/cell
calculated formation energy	-0.31	eV/atom

Ce2HoMg2In2 | PBE | relaxed

Lattice parameters (Å, degrees): 9.245 9.245 9.245 30.52 30.52 30.52
Atoms (fractional coordinates):
Ce 0.143 0.143 0.143
Ce 0.857 0.857 0.857
Ho 0.000 0.000 0.000
Mg 0.407 0.407 0.407
Mg 0.593 0.593 0.593
In 0.270 0.270 0.270
In 0.730 0.730 0.730

Computed properties:
total energy	-3.763	eV per atom
spin magnetization	2.49	μB/cell
calculated formation energy	-0.18	eV/atom

CeHoMgIn | PBE | relaxed

Lattice parameters (Å, degrees): 5.367 5.367 5.367 60.00 60.00 60.00
Atoms (fractional coordinates):
Ce 0.000 0.000 0.000
Ho 0.500 0.500 0.500
Mg 0.250 0.250 0.250
In 0.750 0.750 0.750

Computed properties:
total energy	-3.936	eV per atom
spin magnetization	0.92	μB/cell
calculated formation energy	-0.22	eV/atom

Ce2HoMgIn4 | PBE | relaxed

Lattice parameters (Å, degrees): 9.371 9.371 9.371 32.75 32.75 32.75
Atoms (fractional coordinates):
Ce 0.244 0.244 0.244
Ce 0.756 0.756 0.756
Ho 0.000 0.000 0.000
Mg 0.500 0.500 0.500
In 0.123 0.123 0.123
In 0.375 0.375 0.375
In 0.625 0.625 0.625
In 0.877 0.877 0.877

Computed properties:
total energy	-3.970	eV per atom
spin magnetization	1.81	μB/cell
calculated formation energy	-0.35	eV/atom

- Among the records above, which one has the lowest spin magnetization?
  CeHoMg2In2

Please write out number 1 again, unchanged.
Li2Ce2HoIn2 | PBE | relaxed

Lattice parameters (Å, degrees): 9.279 9.279 9.279 29.16 29.16 29.16
Atoms (fractional coordinates):
Li 0.094 0.094 0.094
Li 0.906 0.906 0.906
Ce 0.357 0.357 0.357
Ce 0.643 0.643 0.643
Ho 0.500 0.500 0.500
In 0.233 0.233 0.233
In 0.767 0.767 0.767

Computed properties:
total energy	-3.892	eV per atom
spin magnetization	1.36	μB/cell
calculated formation energy	-0.21	eV/atom